(1)
The following is a DFT calculation (GGA-PBE) of a geometry-optimized ZrNiBMo structure.

Computed properties:
electronic total energy: -7.363 eV per atom
energy above the most stable polymorph in this dataset: 406 meV/atom
crystal system: cubic

Geometry as extended XYZ:
```
4
Lattice="0.0000 3.0117 3.0117 3.0117 0.0000 3.0117 3.0117 3.0117 0.0000" Properties=species:S:1:pos:R:3 pbc="T T T"
Zr 0.0000 0.0000 0.0000
Ni 4.5176 4.5176 4.5176
B 3.0117 3.0117 3.0117
Mo 1.5059 1.5059 1.5059
```

***

(2)
The following is a DFT calculation (GGA-PBE) of a geometry-optimized SmRe2 structure.

Computed properties:
electronic total energy: -9.914 eV per atom
energy of formation: -18 kJ/mol of formula units
crystal system: hexagonal

Geometry as extended XYZ:
```
12
Lattice="5.4674 0.0000 0.0000 -2.7337 4.7349 0.0000 0.0000 0.0000 8.8961" Properties=species:S:1:pos:R:3 pbc="T T T"
Sm 0.0000 3.1566 0.5562
Sm 0.0000 3.1566 3.8919
Sm 2.7337 1.5783 5.0043
Sm 2.7337 1.5783 8.3399
Re 0.0000 0.0000 0.0000
Re 0.0000 0.0000 4.4481
Re 0.0000 1.6140 6.6721
Re -1.3359 3.9279 6.6721
Re 1.3978 0.8070 2.2240
Re 1.3359 3.9279 6.6721
Re 4.0696 0.8070 2.2240
Re 2.7337 3.1209 2.2240
```

***

(3)
The following is a DFT calculation (GGA-PBE) of a geometry-optimized GdCu6 structure.

Computed properties:
electronic total energy: -4.005 eV per atom
energy of formation: -104 kJ/mol of formula units
crystal system: orthorhombic

Geometry as extended XYZ:
```
28
Lattice="8.0001 0.0000 0.0000 0.0000 4.9973 0.0000 0.0000 0.0000 10.0304" Properties=species:S:1:pos:R:3 pbc="T T T"
Gd 1.9268 1.2493 0.6532
Gd 2.0732 3.7480 5.6684
Gd 5.9269 1.2493 4.3620
Gd 6.0733 3.7480 9.3772
Cu 0.4831 3.7480 0.9358
Cu 0.5107 0.0307 3.0946
Cu 0.5107 2.4680 3.0946
Cu 0.7938 1.2493 5.1837
Cu 1.1681 3.7480 8.5919
Cu 1.4786 1.2493 7.5831
Cu 2.5214 3.7480 2.5679
Cu 2.8320 1.2493 3.5767
Cu 3.2063 3.7480 0.1685
Cu 3.4894 2.5293 8.1098
Cu 3.4894 4.9667 8.1098
Cu 3.5170 1.2493 5.9510
Cu 4.4832 3.7480 4.0794
Cu 4.5107 0.0307 1.9206
Cu 4.5107 2.4680 1.9206
Cu 4.7938 1.2493 9.8619
Cu 5.1682 3.7480 6.4537
Cu 5.4787 1.2493 7.4625
Cu 6.5215 3.7480 2.4473
Cu 6.8320 1.2493 1.4385
Cu 7.2063 3.7480 4.8467
Cu 7.4894 2.5293 6.9358
Cu 7.4894 4.9667 6.9358
Cu 7.5170 1.2493 9.0946
```

***

(4)
The following is a DFT calculation (GGA-PBE) of a geometry-optimized ScHgPO structure.

Computed properties:
electronic total energy: -5.509 eV per atom
energy above the most stable polymorph in this dataset: 2 meV/atom
crystal system: orthorhombic

Geometry as extended XYZ:
```
8
Lattice="3.9273 0.0000 0.0000 0.0000 6.1655 0.0000 0.0000 0.0000 6.2322" Properties=species:S:1:pos:R:3 pbc="T T T"
Sc 0.0000 0.0549 0.0000
Sc 0.0000 6.1106 3.1161
Hg 1.9637 2.6945 2.6064
Hg 1.9637 3.4710 5.7225
P 1.9637 1.2493 4.6761
P 1.9637 4.9162 1.5600
O 0.0000 1.2621 1.5958
O 0.0000 4.9034 4.7119
```

***

(5)
The following is a DFT calculation (GGA-PBE) of a geometry-optimized TcAsIrO structure.

Computed properties:
electronic total energy: -7.320 eV per atom
energy above the most stable polymorph in this dataset: 73 meV/atom
crystal system: tetragonal

Geometry as extended XYZ:
```
8
Lattice="3.8985 0.0000 0.0000 0.0000 3.8985 0.0000 0.0000 0.0000 6.7662" Properties=species:S:1:pos:R:3 pbc="T T T"
Tc 0.9746 0.9746 1.1732
Tc 2.9239 2.9239 5.5930
As 0.9746 0.9746 4.9716
As 2.9239 2.9239 1.7945
Ir 0.9746 2.9239 3.3831
Ir 2.9239 0.9746 3.3831
O 0.9746 2.9239 0.0000
O 2.9239 0.9746 0.0000
```

***

(6)
The following is a DFT calculation (GGA-PBE) of a geometry-optimized InNiGe structure.

Computed properties:
electronic total energy: -4.438 eV per atom
crystal system: cubic

Geometry as extended XYZ:
```
3
Lattice="0.0000 3.0045 3.0045 3.0045 0.0000 3.0045 3.0045 3.0045 0.0000" Properties=species:S:1:pos:R:3 pbc="T T T"
In 0.0000 0.0000 0.0000
Ni 4.5067 4.5067 4.5067
Ge 3.0045 3.0045 3.0045
```

***

(7)
The following is a DFT calculation (GGA-PBE) of a geometry-optimized GdDy2TmAl2 structure.

Computed properties:
electronic total energy: -4.570 eV per atom
crystal system: hexagonal

Geometry as extended XYZ:
```
6
Lattice="5.2255 0.0000 0.0000 -2.6128 4.5255 0.0000 0.0000 0.0000 6.6417" Properties=species:S:1:pos:R:3 pbc="T T T"
Gd 0.0000 0.0000 0.0000
Dy 2.6128 1.5085 1.6838
Dy 2.6128 1.5085 4.9579
Tm 0.0000 3.0170 3.3208
Al 0.0000 0.0000 3.3208
Al 0.0000 3.0170 0.0000
```

***

(8)
The following is a DFT calculation (GGA-PBE) of a geometry-optimized RbSiAgSe3 structure.

Computed properties:
electronic total energy: -3.713 eV per atom
energy above the most stable polymorph in this dataset: 0 meV/atom
crystal system: orthorhombic

Geometry as extended XYZ:
```
24
Lattice="14.3167 0.0000 0.0000 0.0000 3.8991 0.0000 0.0000 0.0000 11.0885" Properties=species:S:1:pos:R:3 pbc="T T T"
Rb 2.1122 0.9748 0.1130
Rb 5.0462 2.9243 5.6573
Rb 9.2706 0.9748 5.4312
Rb 12.2045 2.9243 10.9755
Si 0.5078 2.9243 7.0376
Si 6.6505 0.9748 1.4934
Si 7.6662 2.9243 9.5951
Si 13.8089 0.9748 4.0509
Ag 2.9742 2.9243 2.8444
Ag 4.1842 0.9748 8.3887
Ag 10.1326 2.9243 2.6999
Ag 11.3425 0.9748 8.2441
Se 0.4523 2.9243 2.6375
Se 1.4341 0.9748 5.5615
Se 2.4630 2.9243 8.4318
Se 4.6954 0.9748 2.8876
Se 5.7243 2.9243 0.0172
Se 6.7060 0.9748 8.1818
Se 7.6107 2.9243 2.9068
Se 8.5925 0.9748 11.0713
Se 9.6214 2.9243 8.2009
Se 11.8538 0.9748 2.6567
Se 12.8826 2.9243 5.5271
Se 13.8644 0.9748 8.4510
```

***

(9)
The following is a DFT calculation (GGA-PBE) of a geometry-optimized RbNdTe3Pd structure.

Computed properties:
electronic total energy: -4.371 eV per atom
crystal system: orthorhombic

Geometry as extended XYZ:
```
12
Lattice="2.2646 -9.0943 0.0000 2.2646 9.0943 0.0000 0.0000 0.0000 10.3273" Properties=species:S:1:pos:R:3 pbc="T T T"
Rb 2.2646 4.6034 7.7454
Rb 2.2646 -4.6034 2.5818
Nd 0.0000 0.0000 0.0000
Nd 0.0000 0.0000 5.1636
Te 2.2646 7.3234 2.5818
Te 2.2646 2.0275 0.9761
Te 2.2646 2.0275 4.1876
Te 2.2646 -2.0275 6.1397
Te 2.2646 -2.0275 9.3512
Te 2.2646 -7.3234 7.7454
Pd 2.2646 0.1249 7.7454
Pd 2.2646 -0.1249 2.5818
```

***

(10)
The following is a DFT calculation (GGA-PBE) of a geometry-optimized CsTaAl2O6 structure.

Computed properties:
electronic total energy: -7.529 eV per atom
crystal system: orthorhombic

Geometry as extended XYZ:
```
20
Lattice="8.2522 0.0000 0.0000 0.0000 3.8767 0.0000 0.0000 0.0000 9.9389" Properties=species:S:1:pos:R:3 pbc="T T T"
Cs 0.0000 0.0224 0.0000
Cs 4.1261 3.8543 4.9694
Ta 0.0000 0.9535 3.9181
Ta 4.1261 2.9232 8.8875
Al 1.4840 1.8646 6.8462
Al 2.6422 2.0121 1.8768
Al 5.6101 2.0121 1.8768
Al 6.7683 1.8646 6.8462
O 0.0000 1.8749 7.7102
O 0.0000 2.9494 3.8780
O 1.4263 0.9972 2.4907
O 1.4265 1.0755 5.3388
O 2.6996 2.8012 0.3694
O 2.6999 2.8795 7.4601
O 4.1261 0.9273 8.8474
O 4.1261 2.0018 2.7408
O 5.5526 2.8012 0.3694
O 5.5524 2.8795 7.4601
O 6.8260 0.9972 2.4907
O 6.8257 1.0755 5.3388
```